Entry from Alexandria via LeMat-Bulk: a relaxed Tb3Si5Rh6 crystal (GGA-PBE).

Formation energy without anion corrections   -24.07 kcal/mol of atoms
Crystal system   orthorhombic

abc: 3.9845 12.4213 9.6605
angles: 90.00 90.00 90.00
Last column: nearest neighbours and their distance in Å.
Space group Pmmn (No. 59, origin choice 2)
One atom of each set of equivalent atoms:
Tb1 0.2500 0.0909 0.2476 (multiplicity 4)  7 Rh 3.00-3.29, 6 Si 3.05-3.11
Tb2 0.2500 0.7500 0.2436 (multiplicity 2)  6 Si 2.90-3.11, 6 Rh 3.03-3.19
Si1 0.2500 0.0772 0.6484 (multiplicity 4)  5 Rh 2.41-2.49
Si2 0.2500 0.6289 0.9867 (multiplicity 4)  5 Rh 2.36-2.50
Si3 0.2500 0.7500 0.6137 (multiplicity 2)  4 Rh 2.37-2.40
Rh1 0.2500 0.0489 0.8993 (multiplicity 4)  4 Si 2.36-2.48
Rh2 0.2500 0.2500 0.0138 (multiplicity 2)  4 Si 2.50, 2 Rh 2.73
Rh3 0.2500 0.2500 0.5196 (multiplicity 2)  4 Si 2.37-2.48
Rh4 0.2500 0.5817 0.4919 (multiplicity 4)  4 Si 2.40-2.49